1.
A plane-wave DFT calculation with PBE-GGA was carried out for an optimized crystal structure of Nd3DySn2.

Properties
The calculation puts the formation energy at -335 kJ/mol of formula units. The symmetry is Ibam (72). The crystal system is orthorhombic.

a = 6.578 Å, b = 6.562 Å, c = 9.879 Å
α = 109.40°, β = 109.45°, γ = 90.00°
Positions (direct):
Nd  0.427  0.675  0.350
Nd  0.573  0.325  0.650
Nd  0.077  0.825  0.650
Nd  0.923  0.175  0.350
Nd  0.500  0.750  0.000
Nd  0.500  0.250  0.000
Dy  0.000  0.250  0.000
Dy  0.000  0.750  0.000
Sn  0.383  0.138  0.276
Sn  0.617  0.862  0.724
Sn  0.107  0.362  0.724
Sn  0.893  0.638  0.276

2.
A plane-wave DFT calculation with PBE-GGA was carried out for an optimized crystal structure of NdDy2Sn.

Properties
The calculation puts the formation energy at -117 kJ/mol of formula units. The symmetry is P4/mmm (123). The crystal system is tetragonal.

a = 3.791 Å, b = 3.791 Å, c = 8.438 Å
α = 90.00°, β = 90.00°, γ = 90.00°
Positions (direct):
Nd  0.500  0.500  0.500
Sn  0.500  0.500  0.000
Dy  0.000  0.000  0.785
Dy  0.000  0.000  0.215